The following is a DFT calculation (GGA-PBE) of a relaxed InHg3Cl crystal.

Cell lengths 9.171, 7.812, 8.938 Å; angles 90.00, 90.00, 90.00 degrees
Space group Ima2 (No. 46)
Symmetry-distinct sites (fractional):
In: 0.250 0.250 0.000 [4 per cell]
Hg: 0.080 0.749 0.000 [8 per cell]
Hg: 0.250 0.521 0.250 [4 per cell]
Cl: 0.250 0.020 0.249 [4 per cell]

Summary:
E above lowest polymorph   0.0 kJ/mol of atoms
Energy relative to the elements, uncorrected   -24.8 kJ per mole of atoms